(1)
CaPr2V after structural relaxation, computed with GGA-PBE.

Calculated values
The total energy comes out at -4.47 eV/atom. Its space-group type is R-3m.

extended XYZ file:
```
4
Lattice="1.742 1.006 12.180 -1.742 1.006 12.180 0.000 -2.012 12.180" Properties=species:S:1:pos:R:3 pbc="T T T"
Ca 0.000 0.000 0.000
Pr 0.000 0.000 15.457
Pr 0.000 0.000 21.083
V 0.000 0.000 18.270
```


(2)
Sm5Si2Pb after structural relaxation, computed with GGA-PBE.

Calculated values
The calculation puts the uncorrected formation energy at -4.8 eV/f.u. Its space-group type is I4/mcm.

extended XYZ file:
```
16
Lattice="-3.932 3.932 7.181 3.932 -3.932 7.181 3.932 3.932 -7.181" Properties=species:S:1:pos:R:3 pbc="T T T"
Sm 0.000 0.000 0.000
Sm 5.261 1.329 -1.982
Sm 1.329 2.602 -1.982
Sm 5.261 1.329 1.982
Sm 1.329 2.602 1.982
Sm 0.000 0.000 7.181
Sm 2.602 1.329 5.199
Sm -1.329 2.602 5.199
Sm 2.602 1.329 9.163
Sm -1.329 2.602 9.163
Si 2.942 0.990 0.000
Si 2.942 -0.990 7.181
Si 0.990 4.921 0.000
Si 0.990 2.942 7.181
Pb 0.000 0.000 3.590
Pb 0.000 0.000 10.771
```


(3)
KTa2Cu after structural relaxation, computed with GGA-PBE.

Calculated values
Its energy above the most stable polymorph in this dataset is 2.81 eV per formula unit. Its space-group type is Pmmm.

extended XYZ file:
```
4
Lattice="2.695 0.000 0.000 0.000 5.540 0.000 0.000 0.000 5.552" Properties=species:S:1:pos:R:3 pbc="T T T"
K 0.000 0.000 0.000
Ta 1.348 2.770 1.447
Ta 1.348 2.770 4.105
Cu 0.000 0.000 2.776
```


no.,N(E_F) (states/eV/cell),ρ (g cm⁻³)
1,6.18,4.8
2,18.39,7.6
3,3.83,9.3